Record 1
# Tm8Mg2Ru (PBE, relaxed)
# Energy of formation from the pure elements (meV per atom): -92
# Total magnetic moment (Bohr magnetons per cell): 0.0
# Crystal system: monoclinic
data_Tm8Mg2Ru
_chemical_formula_sum 'Tm16 Mg4 Ru2'
_space_group_name_H-M_alt 'C 1 2/m 1'
_space_group_IT_number 12
_cell_length_a 17.2168
_cell_length_b 5.4216
_cell_length_c 6.9319
_cell_angle_alpha 90.00
_cell_angle_beta 111.72
_cell_angle_gamma 90.00
loop_
_space_group_symop_operation_xyz
'x,y,z'
'-x,-y,-z'
'-x,y,-z'
'x,-y,z'
'x+1/2,y+1/2,z'
'-x+1/2,-y+1/2,-z'
'-x+1/2,y+1/2,-z'
'x+1/2,-y+1/2,z'
loop_
_atom_site_label
_atom_site_type_symbol
_atom_site_fract_x
_atom_site_fract_y
_atom_site_fract_z
Tm1 Tm 0.0135 0.0000 0.2760
Tm2 Tm 0.1043 0.5000 0.9016
Tm3 Tm 0.1417 0.5000 0.4200
Tm4 Tm 0.1906 0.0000 0.7442
Mg1 Mg 0.1849 0.0000 0.1930
Ru1 Ru 0.0000 0.5000 0.5000

---

Record 2
# Tm4MgRu2 (PBE, relaxed)
# Energy of formation from the pure elements (meV per atom): -250
# Total magnetic moment (Bohr magnetons per cell): 0.0
# Crystal system: triclinic
data_Tm4MgRu2
_chemical_formula_sum 'Tm8 Mg2 Ru4'
_space_group_name_H-M_alt 'P 1'
_space_group_IT_number 1
_cell_length_a 6.6839
_cell_length_b 6.8171
_cell_length_c 7.9808
_cell_angle_alpha 87.48
_cell_angle_beta 67.69
_cell_angle_gamma 86.63
loop_
_space_group_symop_operation_xyz
'x,y,z'
loop_
_atom_site_label
_atom_site_type_symbol
_atom_site_fract_x
_atom_site_fract_y
_atom_site_fract_z
Tm1 Tm 0.0000 0.0000 0.0000
Tm2 Tm 0.0122 0.4546 0.1157
Tm3 Tm 0.2725 0.4258 0.4885
Tm4 Tm 0.3054 0.9570 0.5391
Tm5 Tm 0.4571 0.8802 0.0894
Tm6 Tm 0.5360 0.3572 0.0439
Tm7 Tm 0.7453 0.3145 0.5570
Tm8 Tm 0.8575 0.8410 0.4400
Mg1 Mg 0.4033 0.6341 0.7721
Mg2 Mg 0.8900 0.6482 0.7998
Ru1 Ru 0.1464 0.1480 0.2844
Ru2 Ru 0.3516 0.2038 0.8163
Ru3 Ru 0.6229 0.6389 0.3073
Ru4 Ru 0.6477 0.1419 0.2869

---

Record 3
# Tm6MgRu (PBE, relaxed)
# Energy of formation from the pure elements (meV per atom): 47
# Total magnetic moment (Bohr magnetons per cell): 0.0
# Crystal system: monoclinic
data_Tm6MgRu
_chemical_formula_sum 'Tm12 Mg2 Ru2'
_space_group_name_H-M_alt 'C 1 2/m 1'
_space_group_IT_number 12
_cell_length_a 8.0309
_cell_length_b 10.1529
_cell_length_c 6.2550
_cell_angle_alpha 90.00
_cell_angle_beta 107.27
_cell_angle_gamma 90.00
loop_
_space_group_symop_operation_xyz
'x,y,z'
'-x,-y,-z'
'-x,y,-z'
'x,-y,z'
'x+1/2,y+1/2,z'
'-x+1/2,-y+1/2,-z'
'-x+1/2,y+1/2,-z'
'x+1/2,-y+1/2,z'
loop_
_atom_site_label
_atom_site_type_symbol
_atom_site_fract_x
_atom_site_fract_y
_atom_site_fract_z
Tm1 Tm 0.1042 0.1906 0.2907
Tm2 Tm 0.2178 0.5000 0.1241
Mg1 Mg 0.0000 0.5000 0.5000
Ru1 Ru 0.0000 0.0000 0.0000

---

Look up the total magnetic moment of the second one.
0.0 Bohr magnetons per cell